A plane-wave DFT calculation with PBE was carried out for a geometry-optimized Sn2PdRh4 structure.

POSCAR file:
```
Sn2PdRh4
1.0
5.0845 0.0000 0.0000
0.0000 8.6221 0.0000
-1.4122 0.0000 5.4899
Sn Pd Rh
4 2 8
direct
0.1573 0.0239 0.2961 Sn
0.1573 0.4761 0.7961 Sn
0.8427 0.5239 0.2039 Sn
0.8427 0.9761 0.7039 Sn
0.5000 0.0000 0.0000 Pd
0.5000 0.5000 0.5000 Pd
0.1160 0.7457 0.5062 Rh
0.1160 0.7543 0.0062 Rh
0.4263 0.2166 0.6454 Rh
0.4263 0.2834 0.1454 Rh
0.5737 0.7166 0.8546 Rh
0.5737 0.7834 0.3546 Rh
0.8840 0.2457 0.9938 Rh
0.8840 0.2543 0.4938 Rh
```

Computed properties:
**E_tot**: -6.219 eV per atom
**V**: 240.67 Å³ per cell
**Magnetization**: 0.000 μB per cell
**Formation enthalpy at 0 K**: -0.133 eV per atom
**N(E_F)**: 0.77 states/eV per atom

***

A plane-wave DFT calculation with PBE was carried out for a geometry-optimized Sn5PdRh structure.

POSCAR file:
```
Sn5PdRh
1.0
5.7583 -3.4258 0.0000
5.7583 3.4258 0.0000
-4.0629 0.0000 9.0400
Sn Pd Rh
10 2 2
direct
0.0617 0.9383 0.7500 Sn
0.1440 0.3403 0.6135 Sn
0.2433 0.5327 0.9622 Sn
0.3403 0.1440 0.1135 Sn
0.4673 0.7567 0.5378 Sn
0.5327 0.2433 0.4622 Sn
0.6597 0.8560 0.8865 Sn
0.7567 0.4673 0.0378 Sn
0.8560 0.6597 0.3865 Sn
0.9383 0.0617 0.2500 Sn
0.4700 0.5300 0.7500 Pd
0.5300 0.4700 0.2500 Pd
0.0000 0.0000 0.0000 Rh
0.0000 0.0000 0.5000 Rh
```

Computed properties:
**E_tot**: -4.804 eV per atom
**V**: 356.66 Å³ per cell
**Magnetization**: 0.000 μB per cell
**Formation enthalpy at 0 K**: -0.153 eV per atom
**N(E_F)**: 0.43 states/eV per atom

***

A plane-wave DFT calculation with PBE was carried out for a geometry-optimized SnPdRh2 structure.

POSCAR file:
```
SnPdRh2
1.0
-1.9214 1.9214 9.4758
1.9214 -1.9214 9.4758
1.9214 1.9214 -9.4758
Sn Pd Rh
2 2 4
direct
0.0000 0.0000 0.0000 Sn
0.7500 0.2500 0.5000 Sn
0.2500 0.7500 0.5000 Pd
0.5000 0.5000 0.0000 Pd
0.1458 0.6250 0.0208 Rh
0.3750 0.3958 0.5208 Rh
0.6042 0.1250 0.9792 Rh
0.8750 0.8542 0.4792 Rh
```

Computed properties:
**E_tot**: -5.882 eV per atom
**V**: 139.93 Å³ per cell
**Magnetization**: 0.000 μB per cell
**Formation enthalpy at 0 K**: 0.092 eV per atom
**N(E_F)**: 1.54 states/eV per atom

***

A plane-wave DFT calculation with PBE was carried out for a geometry-optimized Sn6Pd3Rh structure.

POSCAR file:
```
Sn6Pd3Rh
1.0
7.1547 0.0000 0.0000
0.0000 6.6496 0.0000
-5.7241 0.0000 9.1136
Sn Pd Rh
12 6 2
direct
0.0777 0.0127 0.2671 Sn
0.0777 0.4873 0.7671 Sn
0.2502 0.1696 0.5977 Sn
0.2502 0.3304 0.0977 Sn
0.3932 0.6403 0.5662 Sn
0.3932 0.8597 0.0662 Sn
0.6068 0.1403 0.9338 Sn
0.6068 0.3597 0.4338 Sn
0.7498 0.6696 0.9023 Sn
0.7498 0.8304 0.4023 Sn
0.9223 0.5127 0.2329 Sn
0.9223 0.9873 0.7329 Sn
0.2916 0.6676 0.2619 Pd
0.2916 0.8324 0.7619 Pd
0.5000 0.0000 0.5000 Pd
0.5000 0.5000 0.0000 Pd
0.7084 0.1676 0.2381 Pd
0.7084 0.3324 0.7381 Pd
0.0000 0.0000 0.0000 Rh
0.0000 0.5000 0.5000 Rh
```

Computed properties:
**E_tot**: -5.059 eV per atom
**V**: 433.59 Å³ per cell
**Magnetization**: 0.000 μB per cell
**Formation enthalpy at 0 K**: -0.364 eV per atom
**N(E_F)**: 0.37 states/eV per atom